DFT (PBE) results for crystalline Sc5In4Ga at its relaxed geometry.

**Formation energy from the elements**: -464.0 meV per atom
**Total moment**: 0.9 μB per cell
**Final energy**: -5.03 eV/atom

Lattice parameters (Å, degrees): 3.168 3.168 21.693 90.00 90.00 90.00
Space group P4/mmm (No. 123)
Unique sites:
Sc1 0.000 0.000 0.000
Sc2 0.000 0.000 0.206
Sc3 0.000 0.000 0.413
In1 0.500 0.500 0.103
In2 0.500 0.500 0.308
Ga1 0.500 0.500 0.500

=====

DFT (PBE) results for crystalline MgGa3Cu2 at its relaxed geometry.

**Relative energy among the computed polymorphs**: 0.0 meV per atom
**Formation energy from the elements**: -129.3 meV per atom
**Total moment**: 0.0 μB per cell
**Final energy**: -3.27 eV/atom

Lattice parameters (Å, degrees): 3.976 7.883 12.387 90.00 90.00 90.00
Space group Immm (No. 71)
Unique sites:
Mg1 0.000 0.000 0.123
Ga1 0.000 0.205 0.323
Ga2 0.000 0.340 0.000
Cu1 0.000 0.344 0.500
Cu2 0.000 0.500 0.206

=====

DFT (PBE) results for crystalline PRu at its relaxed geometry.

**Relative energy among the computed polymorphs**: 511.8 meV per atom
**Formation energy from the elements**: -49.6 meV per atom
**Total moment**: 0.0 μB per cell
**Final energy**: -7.39 eV/atom

Lattice parameters (Å, degrees): 6.402 6.402 6.402 90.00 90.00 90.00
Space group Pm-3n (No. 223)
Unique sites:
P1 0.000 0.250 0.500
Ru1 0.000 0.500 0.250

=====

DFT (PBE) results for crystalline Al2CuAg2 at its relaxed geometry.

**Relative energy among the computed polymorphs**: 0.0 meV per atom
**Formation energy from the elements**: 82.5 meV per atom
**Total moment**: 0.0 μB per cell
**Final energy**: -3.37 eV/atom

Lattice parameters (Å, degrees): 6.483 6.483 4.025 90.00 90.00 90.00
Space group P4/mbm (No. 127)
Unique sites:
Al1 0.149 0.351 0.000
Cu1 0.000 0.000 0.000
Ag1 0.158 0.658 0.500

=====

DFT (PBE) results for crystalline NdHf2Rh at its relaxed geometry.

**Formation energy from the elements**: -282.8 meV per atom
**Total moment**: 0.0 μB per cell
**Final energy**: -8.29 eV/atom

Lattice parameters (Å, degrees): 3.345 3.345 7.910 90.00 90.00 90.00
Space group P4/mmm (No. 123)
Unique sites:
Nd1 0.000 0.000 0.000
Hf1 0.500 0.500 0.305
Rh1 0.000 0.000 0.500

=====

DFT (PBE) results for crystalline KTmTeO4 at its relaxed geometry.

**Formation energy (no corrections)**: -2.085 eV per atom
**Total moment**: 0.0 μB per cell
**Final energy**: -6.16 eV/atom

Lattice parameters (Å, degrees): 5.860 5.998 7.821 90.00 108.09 90.00
Space group P2_1/m (No. 11)
Unique sites:
K1 0.077 0.250 0.151
Tm1 0.161 0.750 0.460
Te1 0.423 0.250 0.742
O1 0.169 0.011 0.664
O2 0.209 0.750 0.193
O3 0.440 0.250 0.500